(1)
Below is crystalline MgFeCoS3 at its relaxed geometry, with properties calculated at the PBE-GGA level.

Unit cell a=6.0551 b=6.0551 c=8.7989 alpha=90.00 beta=90.00 gamma=147.31
Closest atoms and distances in Å follow each position.
Element x y z (fractional)
Mg1 0.2400 0.7600 0.7500  8 S 2.70-2.93, 2 Co 2.90
Mg2 0.7600 0.2400 0.2500  8 S 2.70-2.93, 2 Co 2.90
Fe1 0.0000 0.0000 0.0000  6 S 2.35-2.39
Fe2 0.0000 0.0000 0.5000  6 S 2.35-2.39
Co1 0.4618 0.5382 0.2500  4 S 2.17-2.19
Co2 0.5382 0.4618 0.7500  4 S 2.17-2.19
S1 0.0800 0.9200 0.2500  2 Co 2.19, 2 Fe 2.39
S2 0.3642 0.6358 0.0401  1 Co 2.17, 2 Fe 2.35
S3 0.3642 0.6358 0.4599  1 Co 2.17, 2 Fe 2.35
S4 0.6358 0.3642 0.5401  1 Co 2.17, 2 Fe 2.35
S5 0.6358 0.3642 0.9599  1 Co 2.17, 2 Fe 2.35
S6 0.9200 0.0800 0.7500  2 Co 2.19, 2 Fe 2.39

Energy relative to the lowest polymorph listed for this composition = 0.000 eV per formula unit
Calculated total energy = -5.36 eV/atom
Crystal system = orthorhombic

(2)
Below is crystalline DyTeAuO at its relaxed geometry, with properties calculated at the PBE-GGA level.

Unit cell a=5.6719 b=5.6719 c=10.1658 alpha=90.00 beta=90.00 gamma=90.00
Closest atoms and distances in Å follow each position.
Element x y z (fractional)
Dy1 0.0000 0.0000 0.0000  4 O 2.28
Dy2 0.0000 0.5000 0.2119  4 O 2.26-2.28
Dy3 0.5000 0.0000 0.2119  4 O 2.26-2.28
Dy4 0.5000 0.5000 0.0000  4 O 2.28
Te1 0.0000 0.0000 0.3922  4 Au 2.93
Te2 0.0000 0.5000 0.8259  2 Au 2.77
Te3 0.5000 0.0000 0.8259  2 Au 2.77
Te4 0.5000 0.5000 0.3922  4 Au 2.93
Au1 0.1855 0.3145 0.5961  3 Te 2.77-2.93, 5 Au 2.93-2.98
Au2 0.3145 0.8145 0.5961  3 Te 2.77-2.93, 5 Au 2.93-2.98
Au3 0.6855 0.1855 0.5961  3 Te 2.77-2.93, 5 Au 2.93-2.98
Au4 0.8145 0.6855 0.5961  3 Te 2.77-2.93, 5 Au 2.93-2.98
O1 0.2489 0.2511 0.1073  4 Dy 2.26-2.28
O2 0.2511 0.7511 0.1073  4 Dy 2.26-2.28
O3 0.7489 0.2489 0.1073  4 Dy 2.26-2.28
O4 0.7511 0.7489 0.1073  4 Dy 2.26-2.28

Energy relative to the lowest polymorph listed for this composition = 0.107 eV per formula unit
Calculated total energy = -5.76 eV/atom
Crystal system = tetragonal

(3)
Below is crystalline ZrScHg2 at its relaxed geometry, with properties calculated at the PBE-GGA level.

Unit cell a=5.0313 b=6.4401 c=6.4401 alpha=123.00 beta=90.00 gamma=90.00
Closest atoms and distances in Å follow each position.
Element x y z (fractional)
Zr1 0.2500 0.0560 0.9440  2 Zr 2.82, 3 Hg 3.04-3.12, 1 Sc 3.13
Zr2 0.7500 0.9440 0.0560  2 Zr 2.82, 3 Hg 3.04-3.12, 1 Sc 3.13
Sc1 0.2500 0.0824 0.4439  8 Hg 2.98-3.29, 4 Zr 3.13-3.32
Sc2 0.7500 0.4439 0.0824  8 Hg 2.98-3.29, 4 Zr 3.13-3.32
Hg1 0.2500 0.5758 0.4138  2 Zr 3.05-3.12, 6 Hg 3.10-3.34, 4 Sc 3.10-3.29
Hg2 0.2500 0.5786 0.9343  4 Sc 2.98-3.11, 3 Zr 3.04-3.24, 3 Hg 3.10-3.18
Hg3 0.7500 0.4138 0.5758  2 Zr 3.05-3.12, 6 Hg 3.10-3.34, 4 Sc 3.10-3.29
Hg4 0.7500 0.9343 0.5786  4 Sc 2.98-3.11, 3 Zr 3.04-3.24, 3 Hg 3.10-3.18

ΔE_f = -0.16 eV per atom
Energy relative to the lowest polymorph listed for this composition = 0.387 eV per formula unit
Calculated total energy = -4.03 eV/atom
Crystal system = orthorhombic

(4)
Below is crystalline CsCuTePdS2 at its relaxed geometry, with properties calculated at the PBE-GGA level.

Unit cell a=8.4236 b=8.4236 c=10.5828 alpha=90.00 beta=90.00 gamma=154.36
Closest atoms and distances in Å follow each position.
Element x y z (fractional)
Cs1 0.2308 0.7692 0.7500  2 Cu 3.58, 4 S 3.64, 2 Cs 3.74, 2 Te 3.83
Cs2 0.7692 0.2308 0.2500  2 Cu 3.58, 4 S 3.64, 2 Cs 3.74, 2 Te 3.83
Cu1 0.4547 0.5453 0.2500  2 S 2.25
Cu2 0.5453 0.4547 0.7500  2 S 2.25
Te1 0.0660 0.9340 0.2500  2 Cu 2.61, 2 Pd 2.86
Te2 0.9340 0.0660 0.7500  2 Cu 2.61, 2 Pd 2.86
Pd1 0.0000 0.0000 0.0000  4 S 2.45
Pd2 0.0000 0.0000 0.5000  4 S 2.45
S1 0.4088 0.5912 0.0495  1 Cu 2.25, 2 Pd 2.45
S2 0.4088 0.5912 0.4505  1 Cu 2.25, 2 Pd 2.45
S3 0.5912 0.4088 0.5495  1 Cu 2.25, 2 Pd 2.45
S4 0.5912 0.4088 0.9505  1 Cu 2.25, 2 Pd 2.45

Calculated total energy = -3.92 eV/atom
Crystal system = orthorhombic

(5)
Below is crystalline SmGdTeO2 at its relaxed geometry, with properties calculated at the PBE-GGA level.

Unit cell a=3.9589 b=3.9589 c=7.2864 alpha=90.00 beta=90.00 gamma=120.00
Closest atoms and distances in Å follow each position.
Element x y z (fractional)
Sm1 0.0000 0.0000 0.0000  4 O 2.34-2.36
Gd1 0.6667 0.3333 0.3939  4 O 2.29-2.35
Te1 0.3333 0.6667 0.6946  3 Gd 3.17, 3 Sm 3.19
O1 0.0000 0.0000 0.3205  1 Sm 2.34, 3 Gd 2.35
O2 0.6667 0.3333 0.0793  1 Gd 2.29, 3 Sm 2.36

Energy relative to the lowest polymorph listed for this composition = 0.406 eV per formula unit
Calculated total energy = -7.34 eV/atom
Crystal system = trigonal

(6)
Below is crystalline AcDyB4 at its relaxed geometry, with properties calculated at the PBE-GGA level.

Unit cell a=5.3779 b=5.3779 c=5.3779 alpha=143.52 beta=115.41 gamma=76.52
Closest atoms and distances in Å follow each position.
Element x y z (fractional)
Ac1 0.0000 0.0000 0.0000  12 B 2.85-2.88
Dy1 0.5000 0.5000 0.0000  12 B 2.84-2.88
B1 0.0894 0.7526 0.3368  3 B 1.88-1.96
B2 0.4158 0.7526 0.6632  3 B 1.88-1.96
B3 0.5842 0.2474 0.3368  3 B 1.88-1.96
B4 0.9106 0.2474 0.6632  3 B 1.88-1.96

Energy relative to the lowest polymorph listed for this composition = 0.567 eV per formula unit
Calculated total energy = -6.05 eV/atom
Crystal system = orthorhombic

(7)
Below is crystalline LiCuBi2 at its relaxed geometry, with properties calculated at the PBE-GGA level.

Unit cell a=5.1729 b=5.1729 c=5.1729 alpha=60.00 beta=60.00 gamma=60.00
Closest atoms and distances in Å follow each position.
Element x y z (fractional)
Li1 0.0000 0.0000 0.0000  4 Bi 3.17, 4 Cu 3.17
Cu1 0.7500 0.7500 0.7500  4 Bi 3.17, 4 Li 3.17
Bi1 0.2500 0.2500 0.2500  4 Bi 3.17, 4 Li 3.17
Bi2 0.5000 0.5000 0.5000  4 Bi 3.17, 4 Cu 3.17

Calculated total energy = -3.29 eV/atom
Crystal system = cubic

(8)
Below is crystalline NdTeAsO at its relaxed geometry, with properties calculated at the PBE-GGA level.

Unit cell a=4.1514 b=4.1514 c=10.6758 alpha=90.00 beta=90.00 gamma=90.00
Closest atoms and distances in Å follow each position.
Element x y z (fractional)
Nd1 0.2500 0.2500 0.1054  4 O 2.36
Nd2 0.7500 0.7500 0.8946  4 O 2.36
Te1 0.2500 0.7500 0.5000  4 Te 2.94, 4 As 3.20
Te2 0.7500 0.2500 0.5000  4 Te 2.94, 4 As 3.20
As1 0.2500 0.2500 0.7276  4 Te 3.20, 4 Nd 3.43, 4 O 3.57
As2 0.7500 0.7500 0.2724  4 Te 3.20, 4 Nd 3.43, 4 O 3.57
O1 0.2500 0.7500 0.0000  4 Nd 2.36
O2 0.7500 0.2500 0.0000  4 Nd 2.36

Energy relative to the lowest polymorph listed for this composition = 0.000 eV per formula unit
Calculated total energy = -5.65 eV/atom
Crystal system = tetragonal

(9)
Below is crystalline MgZnGa2Ir4 at its relaxed geometry, with properties calculated at the PBE-GGA level.

Unit cell a=4.3152 b=4.3152 c=6.1026 alpha=90.00 beta=90.00 gamma=90.00
Closest atoms and distances in Å follow each position.
Element x y z (fractional)
Mg1 0.0000 0.0000 0.0000  8 Ir 2.66
Zn1 0.5000 0.5000 0.5000  8 Ir 2.62
Ga1 0.0000 0.0000 0.5000  8 Ir 2.62
Ga2 0.5000 0.5000 0.0000  8 Ir 2.66
Ir1 0.0000 0.5000 0.2550  2 Zn 2.62, 4 Ga 2.62-2.66, 2 Mg 2.66
Ir2 0.0000 0.5000 0.7450  2 Zn 2.62, 4 Ga 2.62-2.66, 2 Mg 2.66
Ir3 0.5000 0.0000 0.2550  2 Zn 2.62, 4 Ga 2.62-2.66, 2 Mg 2.66
Ir4 0.5000 0.0000 0.7450  2 Zn 2.62, 4 Ga 2.62-2.66, 2 Mg 2.66

Calculated total energy = -5.95 eV/atom
Crystal system = tetragonal

(10)
Below is crystalline TaTePO at its relaxed geometry, with properties calculated at the PBE-GGA level.

Unit cell a=3.9387 b=3.9387 c=10.1449 alpha=90.00 beta=90.00 gamma=90.00
Closest atoms and distances in Å follow each position.
Element x y z (fractional)
Ta1 0.2500 0.2500 0.0840  4 O 2.15
Ta2 0.7500 0.7500 0.9160  4 O 2.15
Te1 0.2500 0.7500 0.5000  4 Te 2.79
Te2 0.7500 0.2500 0.5000  4 Te 2.79
P1 0.2500 0.2500 0.8165  4 O 2.71, 5 Ta 2.71-2.96
P2 0.7500 0.7500 0.1835  4 O 2.71, 5 Ta 2.71-2.96
O1 0.2500 0.7500 0.0000  4 Ta 2.15
O2 0.7500 0.2500 0.0000  4 Ta 2.15

Energy relative to the lowest polymorph listed for this composition = 2.535 eV per formula unit
Calculated total energy = -6.66 eV/atom
Crystal system = tetragonal